Entry 1:
The following is a DFT calculation (PBE) of CeBiSe after structural relaxation.

Output
Symmetry: I4mm (107)
Magnetic moment, μB per atom: 0.186
V, Å³ per atom: 28.48
Crystal system: tetragonal
E, eV/atom: -5.391

CIF file:
```
data_CeBiSe
_chemical_formula_sum 'Ce1 Bi1 Se1'
_cell_length_a 3.784
_cell_length_b 3.784
_cell_length_c 6.540
_cell_angle_alpha 106.81
_cell_angle_beta 106.81
_cell_angle_gamma 90.00
_space_group_name_H-M_alt 'P 1'
_space_group_IT_number 1
_space_group_name_Hall 'P 1'
loop_
_atom_site_label
_atom_site_type_symbol
_atom_site_fract_x
_atom_site_fract_y
_atom_site_fract_z
Bi1 Bi 0.001 0.001 0.003
Se1 Se 0.298 0.298 0.597
Ce1 Ce 0.700 0.700 0.400
```

=====

Entry 2:
The following is a DFT calculation (PBE) of Rb2YCrHg after structural relaxation.

Output
Symmetry: P4/mmm (123)
Magnetic moment, μB per atom: 0.930
V, Å³ per atom: 51.01
Crystal system: tetragonal
E, eV/atom: -2.825

CIF file:
```
data_Rb2YCrHg
_chemical_formula_sum 'Rb2 Y1 Cr1 Hg1'
_cell_length_a 6.579
_cell_length_b 5.892
_cell_length_c 6.579
_cell_angle_alpha 90.00
_cell_angle_beta 90.00
_cell_angle_gamma 90.00
_space_group_name_H-M_alt 'P 1'
_space_group_IT_number 1
_space_group_name_Hall 'P 1'
loop_
_atom_site_label
_atom_site_type_symbol
_atom_site_fract_x
_atom_site_fract_y
_atom_site_fract_z
Rb1 Rb 0.500 0.000 0.000
Rb2 Rb 0.000 0.000 0.500
Y1 Y 0.000 0.500 0.000
Cr1 Cr 0.500 0.500 0.500
Hg1 Hg 0.000 0.000 0.000
```